# 1
Dy3Ga5O12, relaxed, DFT GGA-PBE; density = 7.35 g/cm³; energy = -6.97 eV per atom; volume = 232 Å³/f.u.
1.0
-6.147 6.147 6.147
6.147 -6.147 6.147
6.147 6.147 -6.147
Dy Ga O
12 20 48
Cartesian
3.073 1.537 0.000 Dy
6.147 3.073 -1.537 Dy
1.537 0.000 3.073 Dy
7.684 0.000 3.073 Dy
0.000 3.073 1.537 Dy
3.073 -1.537 6.147 Dy
3.073 7.684 0.000 Dy
6.147 3.073 4.610 Dy
-1.537 6.147 3.073 Dy
4.610 6.147 3.073 Dy
0.000 3.073 7.684 Dy
3.073 4.610 6.147 Dy
0.000 0.000 0.000 Ga
3.073 3.073 -3.073 Ga
3.073 -3.073 3.073 Ga
6.147 0.000 0.000 Ga
9.220 1.537 0.000 Ga
6.147 -3.073 4.610 Ga
4.610 6.147 -3.073 Ga
4.610 0.000 3.073 Ga
3.073 4.610 0.000 Ga
6.147 3.073 1.537 Ga
-3.073 3.073 3.073 Ga
0.000 6.147 0.000 Ga
0.000 0.000 6.147 Ga
3.073 3.073 3.073 Ga
0.000 3.073 4.610 Ga
3.073 1.537 6.147 Ga
1.537 6.147 3.073 Ga
1.537 0.000 9.220 Ga
0.000 9.220 1.537 Ga
-3.073 4.610 6.147 Ga
1.846 -0.335 0.695 O
7.374 3.769 -3.409 O
7.993 0.335 0.695 O
7.374 -2.378 3.409 O
5.812 -0.695 1.846 O
9.556 -1.227 2.378 O
0.695 1.846 -0.335 O
8.525 2.738 -1.227 O
3.769 3.409 -1.227 O
5.452 1.846 0.335 O
-0.335 0.695 1.846 O
3.409 -1.227 3.769 O
5.812 5.452 -1.846 O
3.409 1.227 2.378 O
3.769 -3.409 7.374 O
5.452 -1.846 5.812 O
2.378 3.409 1.227 O
6.842 4.301 0.335 O
3.409 7.374 -2.378 O
5.812 0.695 4.301 O
1.846 5.812 -0.695 O
7.374 2.378 2.738 O
1.227 2.378 3.409 O
1.846 0.335 5.452 O
4.301 5.812 0.695 O
4.920 3.769 2.738 O
-1.227 3.769 3.409 O
4.301 0.335 6.842 O
0.335 5.452 1.846 O
2.738 -1.227 8.525 O
-0.695 1.846 5.812 O
3.769 2.738 4.920 O
0.695 7.993 0.335 O
2.378 9.556 -1.227 O
2.738 4.920 3.769 O
0.335 0.695 7.993 O
2.738 7.374 2.378 O
6.482 5.452 4.301 O
0.695 4.301 5.812 O
2.378 2.738 7.374 O
-2.378 3.409 7.374 O
5.452 4.301 6.482 O
-3.409 7.374 3.769 O
0.335 6.842 4.301 O
-1.227 8.525 2.738 O
-1.846 5.812 5.452 O
-1.227 2.378 9.556 O
4.301 6.482 5.452 O

***

# 2
ZrBeIn, relaxed, DFT GGA-PBE; density = 5.50 g/cm³; energy = -4.51 eV per atom; volume = 65 Å³/f.u.
1.0
6.378 0.000 0.000
0.000 6.378 0.000
0.000 0.000 6.378
Zr Be In
4 4 4
Cartesian
0.000 0.000 0.000 Zr
0.000 3.189 3.189 Zr
3.189 0.000 3.189 Zr
3.189 3.189 0.000 Zr
0.000 0.000 3.189 Be
0.000 3.189 0.000 Be
3.189 0.000 0.000 Be
3.189 3.189 3.189 Be
1.595 1.595 4.784 In
1.595 4.784 1.595 In
4.784 1.595 1.595 In
4.784 4.784 4.784 In

***

# 3
LuBeTlNi, relaxed, DFT GGA-PBE; density = 11.12 g/cm³; energy = -4.06 eV per atom; volume = 67 Å³/f.u.
1.0
6.439 0.000 0.000
0.000 6.439 0.000
0.000 0.000 6.439
Lu Be Tl Ni
4 4 4 4
Cartesian
0.000 0.000 0.000 Lu
0.000 3.219 3.219 Lu
3.219 0.000 3.219 Lu
3.219 3.219 0.000 Lu
1.610 1.610 4.829 Be
1.610 4.829 1.610 Be
4.829 1.610 1.610 Be
4.829 4.829 4.829 Be
0.000 0.000 3.219 Tl
0.000 3.219 0.000 Tl
3.219 0.000 0.000 Tl
3.219 3.219 3.219 Tl
1.610 1.610 1.610 Ni
1.610 4.829 4.829 Ni
4.829 1.610 4.829 Ni
4.829 4.829 1.610 Ni

***

# 4
MgBeBAu, relaxed, DFT GGA-PBE; density = 8.26 g/cm³; energy = -3.36 eV per atom; volume = 48 Å³/f.u.
1.0
5.787 0.000 0.000
0.000 5.787 0.000
0.000 0.000 5.787
Mg Be B Au
4 4 4 4
Cartesian
0.000 0.000 0.000 Mg
0.000 2.893 2.893 Mg
2.893 0.000 2.893 Mg
2.893 2.893 0.000 Mg
1.447 1.447 4.340 Be
1.447 4.340 1.447 Be
4.340 1.447 1.447 Be
4.340 4.340 4.340 Be
1.447 1.447 1.447 B
1.447 4.340 4.340 B
4.340 1.447 4.340 B
4.340 4.340 1.447 B
0.000 0.000 2.893 Au
0.000 2.893 0.000 Au
2.893 0.000 0.000 Au
2.893 2.893 2.893 Au